No. 1
# La3Pm2Hg3

A relaxed La3Pm2Hg3 crystal (GGA-PBE, Alexandria). Values from VASP.

Geometry as Quantum ESPRESSO input:
```
&SYSTEM
  ibrav = 0, nat = 16, ntyp = 3
/
ATOMIC_SPECIES
La 138.91 La.upf
Pm 145.00 Pm.upf
Hg 200.59 Hg.upf
CELL_PARAMETERS angstrom
3.8712 0.0000 0.0000
0.0000 5.6004 0.0000
0.0000 0.0000 22.8882
ATOMIC_POSITIONS angstrom
La 0.0000 0.0000 0.0000
La 0.0000 2.8002 2.7723
La 0.0000 2.8002 20.1159
La 1.9356 0.0000 8.6718
La 1.9356 0.0000 14.2164
La 1.9356 2.8002 11.4441
Pm 0.0000 0.0000 5.3514
Pm 0.0000 0.0000 17.5369
Pm 1.9356 2.8002 6.0928
Pm 1.9356 2.8002 16.7955
Hg 0.0000 0.0000 11.4441
Hg 0.0000 2.8002 8.6484
Hg 0.0000 2.8002 14.2398
Hg 1.9356 0.0000 2.7957
Hg 1.9356 0.0000 20.0925
Hg 1.9356 2.8002 0.0000
```

=====

No. 2
! Rb3Cd2In4 | Alexandria | GGA-PBE | relaxed; values from VASP
! - E above lowest polymorph (eV/atom) = 0.000
&SYSTEM
  ibrav = 0, nat = 9, ntyp = 3
/
ATOMIC_SPECIES
Rb 85.47 Rb.upf
Cd 112.41 Cd.upf
In 114.82 In.upf
CELL_PARAMETERS angstrom
7.0105 -2.4822 0.0000
7.0105 2.4822 0.0000
-6.6799 0.0000 9.7434
ATOMIC_POSITIONS angstrom
Rb 0.0000 0.0000 0.0000
Rb 1.4268 0.0000 3.6920
Rb 5.9144 0.0000 6.0514
Cd 4.7879 0.0000 2.0145
Cd 2.5532 0.0000 7.7289
In -4.1683 0.0000 6.1688
In -2.6836 0.0000 8.8533
In 10.0248 0.0000 0.8901
In 11.5095 0.0000 3.5746

=====

No. 3
! Ru4AuSe | Alexandria | GGA-PBE | relaxed; values from VASP
! - formation energy from raw total energies (kcal/mol of atoms) = 18.22
&SYSTEM
  ibrav = 0, nat = 6, ntyp = 3
/
ATOMIC_SPECIES
Ru 101.07 Ru.upf
Au 196.97 Au.upf
Se 78.96 Se.upf
CELL_PARAMETERS angstrom
0.0000 3.6606 3.6606
3.6606 0.0000 3.6606
3.6606 3.6606 0.0000
ATOMIC_POSITIONS angstrom
Ru 0.9142 0.9142 0.9142
Ru 2.7464 2.7464 0.9142
Ru 2.7464 0.9142 2.7464
Ru 0.9142 2.7464 2.7464
Au 3.6606 3.6606 3.6606
Se 5.4909 5.4909 5.4909

=====

No. 4
! ReRh7 | Alexandria | GGA-PBE | relaxed; values from VASP
! - E above lowest polymorph (eV/atom) = 0.046
&SYSTEM
  ibrav = 0, nat = 8, ntyp = 2
/
ATOMIC_SPECIES
Re 186.21 Re.upf
Rh 102.91 Rh.upf
CELL_PARAMETERS angstrom
0.0000 3.8465 3.8465
3.8465 0.0000 3.8465
3.8465 3.8465 0.0000
ATOMIC_POSITIONS angstrom
Re 0.0000 0.0000 0.0000
Rh 1.9232 1.9232 0.0000
Rh 1.9232 0.0000 1.9232
Rh 3.8465 1.9232 1.9232
Rh 0.0000 1.9232 1.9232
Rh 1.9232 3.8465 1.9232
Rh 1.9232 1.9232 3.8465
Rh 3.8465 3.8465 3.8465

=====

No. 5
! Rb2TlSn | Alexandria | GGA-PBE | relaxed; values from VASP
! - E above lowest polymorph (eV/atom) = 0.000
&SYSTEM
  ibrav = 0, nat = 8, ntyp = 3
/
ATOMIC_SPECIES
Rb 85.47 Rb.upf
Tl 204.38 Tl.upf
Sn 118.71 Sn.upf
CELL_PARAMETERS angstrom
12.2946 0.0000 0.0000
0.0000 7.1446 0.0000
-2.0142 0.0000 4.5623
ATOMIC_POSITIONS angstrom
Rb 1.8984 0.0000 0.8400
Rb 2.2347 3.5723 3.7223
Rb 8.0457 3.5723 0.8400
Rb 8.3820 0.0000 3.7223
Tl 0.0000 3.4438 0.0000
Tl 6.1473 7.0161 0.0000
Sn -1.0071 4.9932 2.2811
Sn 5.1402 1.4209 2.2811

=====

No. 6
! Pa2NbFe | Alexandria | GGA-PBE | relaxed; values from VASP
! - E above lowest polymorph (eV/atom) = 0.000
&SYSTEM
  ibrav = 0, nat = 4, ntyp = 3
/
ATOMIC_SPECIES
Pa 231.04 Pa.upf
Nb 92.91 Nb.upf
Fe 55.84 Fe.upf
CELL_PARAMETERS angstrom
3.4797 0.0000 0.0000
0.0000 3.4797 0.0000
0.0000 0.0000 6.6047
ATOMIC_POSITIONS angstrom
Pa 0.0000 0.0000 1.4236
Pa 0.0000 0.0000 5.1811
Nb 1.7398 1.7398 3.3024
Fe 1.7398 1.7398 0.0000

=====

No. 7
! PrPuSc | Alexandria | GGA-PBE | relaxed; values from VASP
! - E above lowest polymorph (eV/atom) = 0.000
&SYSTEM
  ibrav = 0, nat = 6, ntyp = 3
/
ATOMIC_SPECIES
Pr 140.91 Pr.upf
Pu 244.00 Pu.upf
Sc 44.96 Sc.upf
CELL_PARAMETERS angstrom
3.4810 0.0000 0.0000
0.0000 3.4810 0.0000
0.0000 0.0000 14.3303
ATOMIC_POSITIONS angstrom
Pr 0.0000 0.0000 0.0000
Pr 1.7405 1.7405 7.1652
Pu 0.0000 0.0000 9.7022
Pu 1.7405 1.7405 2.5371
Sc 0.0000 0.0000 4.7195
Sc 1.7405 1.7405 11.8847

=====

No. 8
! KW | Alexandria | GGA-PBE | relaxed; values from VASP
! - E above lowest polymorph (eV/atom) = 0.114
&SYSTEM
  ibrav = 0, nat = 16, ntyp = 2
/
ATOMIC_SPECIES
K 39.10 K.upf
W 183.84 W.upf
CELL_PARAMETERS angstrom
3.2883 0.0000 0.0000
0.0000 11.4231 0.0000
0.0000 0.0000 14.1272
ATOMIC_POSITIONS angstrom
K 0.0033 0.4217 2.4279
K 0.0290 1.3781 12.5399
K 1.6152 10.0450 5.4763
K 1.6409 11.0014 9.4915
K 1.6474 5.2898 11.6993
K 1.6732 4.3335 1.5873
K 3.2593 7.0896 8.6509
K 3.2851 6.1333 4.6357
W 0.0119 7.3997 0.2070
W 0.0120 8.8365 12.2823
W 1.6322 2.5866 5.2187
W 1.6322 4.0234 7.2706
W 1.6562 8.2982 1.8449
W 1.6561 9.7350 13.9202
W 3.2764 1.6881 6.8566
W 3.2763 3.1249 8.9085

=====

Number 1: total energy -3.52 eV per atom. Number 2: total energy -1.82 eV per atom. Number 3: total energy -6.52 eV per atom. Number 4: total energy -8.00 eV per atom. Number 5: total energy -2.15 eV per atom. Number 6: total energy -9.25 eV per atom. Number 7: total energy -8.33 eV per atom. Number 8: total energy -5.99 eV per atom.